# 1
First-principles (PBEsol) data for a relaxed CdAs2S2O4F12 crystal, as listed in Alexandria via LeMat-Bulk.

Computed properties:
The energy relative to the elements, uncorrected comes out at -1.832 eV/atom. As for the crystal system: orthorhombic. The density of states at the Fermi level comes out at 0.000 states/eV per cell.

Lattice parameters (Å, degrees): 15.4023 18.0556 8.8438 90.00 90.00 90.00
Space group Fdd2 (No. 43)
Symmetry-distinct sites (fractional):
Cd1 0.0000 0.0000 0.0000 x8
As1 0.0898 0.1939 0.9074 x16
S1 0.0847 0.1461 0.4278 x16
O1 0.0668 0.1006 0.2986 x16
O2 0.0960 0.4513 0.6605 x16
F1 0.0030 0.2016 0.0334 x16
F2 0.0198 0.1811 0.7561 x16
F3 0.0700 0.4338 0.0414 x16
F4 0.0873 0.4526 0.3155 x16
F5 0.0903 0.0955 0.9431 x16
F6 0.0903 0.2905 0.8818 x16

# 2
First-principles (PBEsol) data for a relaxed CdFe2As crystal, as listed in Alexandria via LeMat-Bulk.

Computed properties:
As for the energy above the most stable polymorph in this dataset: 0.00 eV per formula unit. As for the formation energy: 0.298 eV/atom. As for the crystal system: monoclinic. The density of states at the Fermi level comes out at 6.878 states/eV per cell.

Lattice parameters (Å, degrees): 7.9338 2.9471 5.1856 90.00 102.27 90.00
Space group C2/m (No. 12)
Symmetry-distinct sites (fractional):
Cd1 0.0000 0.0000 0.0000 x2
Fe1 0.2408 0.0000 0.6836 x4
As1 0.0000 0.5000 0.5000 x2

# 3
First-principles (PBEsol) data for a relaxed CdFe2As crystal, as listed in Alexandria via LeMat-Bulk.

Computed properties:
As for the energy above the most stable polymorph in this dataset: 0.79 eV per formula unit. As for the formation energy: 0.496 eV/atom. As for the crystal system: cubic. The density of states at the Fermi level comes out at 10.042 states/eV per cell.

Lattice parameters (Å, degrees): 6.1432 6.1432 6.1432 90.00 90.00 90.00
Space group F-43m (No. 216)
Symmetry-distinct sites (fractional):
Cd1 0.0000 0.0000 0.0000 x4
Fe1 0.0000 0.0000 0.5000 x4
Fe2 0.2500 0.2500 0.2500 x4
As1 0.2500 0.2500 0.7500 x4